Below is a geometry-optimized CeBe3Ge3 structure, with properties calculated at the PBE level.

Computed properties:
Magnetic moment (Bohr magnetons per cell): 1.28
Formation enthalpy at 0 K (meV per atom): 48
N(E_F) (states/eV/f.u.): 6.38

Lattice parameters (Å, degrees): 6.253 6.253 6.253 90.00 90.00 90.00
Space group Pm-3n (No. 223)
One atom of each set of equivalent atoms:
Ce 0.000 0.000 0.000
Be 0.000 0.250 0.500
Ge 0.000 0.500 0.250